(1)
# BeAs2PtW meta-GGA SCAN PBEsol geometry
data_BeAs2PtW
_chemical_formula_sum 'Be1 As2 Pt1 W1'
_cell_length_a 4.815
_cell_length_b 4.815
_cell_length_c 3.982
_cell_angle_alpha 90.00
_cell_angle_beta 90.00
_cell_angle_gamma 90.00
_symmetry_space_group_name_H-M 'P 4/m m m'
_symmetry_Int_Tables_number 123
_symmetry_space_group_name_Hall '-P 4 2'
loop_
_atom_site_label
_atom_site_fract_x
_atom_site_fract_y
_atom_site_fract_z
Be1 0.000 0.000 0.000
As1 0.000 0.500 0.500
Pt1 0.000 0.000 0.500
W1 0.500 0.500 0.000
# Total magnetic moment (μB/cell): 2.4
# Total energy (eV per cell): -179.1
# Energy relative to the elements (meV per atom): 1105

=====

(2)
# RbBe2As meta-GGA SCAN PBEsol geometry
data_RbBe2As
_chemical_formula_sum 'Rb4 Be8 As4'
_cell_length_a 4.913
_cell_length_b 4.913
_cell_length_c 14.985
_cell_angle_alpha 90.00
_cell_angle_beta 90.00
_cell_angle_gamma 90.00
_symmetry_space_group_name_H-M 'I 41/a m d'
_symmetry_Int_Tables_number 141
loop_
_symmetry_equiv_pos_as_xyz
'x,y,z'
'-x,-y,-z'
'-y+1/4,x+3/4,z+1/4'
'y+1/4,-x+3/4,-z+1/4'
'-x+1/2,-y,z+1/2'
'x+1/2,y,-z+1/2'
'y+1/4,-x+1/4,z+3/4'
'-y+1/4,x+1/4,-z+3/4'
'x,-y,-z'
'-x,y,z'
'-y+1/4,-x+1/4,-z+3/4'
'y+1/4,x+1/4,z+3/4'
'-x+1/2,y,-z+1/2'
'x+1/2,-y,z+1/2'
'y+1/4,x+3/4,-z+1/4'
'-y+1/4,-x+3/4,z+1/4'
'x+1/2,y+1/2,z+1/2'
'-x+1/2,-y+1/2,-z+1/2'
'-y+3/4,x+1/4,z+3/4'
'y+3/4,-x+1/4,-z+3/4'
'-x,-y+1/2,z'
'x,y+1/2,-z'
'y+3/4,-x+3/4,z+1/4'
'-y+3/4,x+3/4,-z+1/4'
'x+1/2,-y+1/2,-z+1/2'
'-x+1/2,y+1/2,z+1/2'
'-y+3/4,-x+3/4,-z+1/4'
'y+3/4,x+3/4,z+1/4'
'-x,y+1/2,-z'
'x,-y+1/2,z'
'y+3/4,x+1/4,-z+3/4'
'-y+3/4,-x+1/4,z+3/4'
loop_
_atom_site_label
_atom_site_fract_x
_atom_site_fract_y
_atom_site_fract_z
Rb1 0.000 0.250 0.375
Be1 0.000 0.000 0.000
As1 0.000 0.250 0.875
# Total magnetic moment (μB/cell): 0.0
# Total energy (eV per cell): -193.5
# Energy relative to the elements (meV per atom): 315

=====

(3)
# RbBe2As2 meta-GGA SCAN PBEsol geometry
data_RbBe2As2
_chemical_formula_sum 'Rb2 Be4 As4'
_cell_length_a 3.584
_cell_length_b 3.584
_cell_length_c 15.308
_cell_angle_alpha 90.00
_cell_angle_beta 90.00
_cell_angle_gamma 90.00
_symmetry_space_group_name_H-M 'I 4/m m m'
_symmetry_Int_Tables_number 139
_symmetry_space_group_name_Hall '-I 4 2'
loop_
_atom_site_label
_atom_site_fract_x
_atom_site_fract_y
_atom_site_fract_z
Rb1 0.000 0.000 0.000
Be1 0.000 0.500 0.250
As1 0.000 0.000 0.345
# Total magnetic moment (μB/cell): 0.0
# Total energy (eV per cell): -143.6
# Energy relative to the elements (meV per atom): -396

=====

(4)
# RbBeAs meta-GGA SCAN PBEsol geometry
data_RbBeAs
_chemical_formula_sum 'Rb4 Be4 As4'
_cell_length_a 13.350
_cell_length_b 3.836
_cell_length_c 6.284
_cell_angle_alpha 90.00
_cell_angle_beta 105.77
_cell_angle_gamma 90.00
_symmetry_space_group_name_H-M 'C 1 2/m 1'
_symmetry_Int_Tables_number 12
loop_
_symmetry_equiv_pos_as_xyz
'x,y,z'
'-x,-y,-z'
'-x,y,-z'
'x,-y,z'
'x+1/2,y+1/2,z'
'-x+1/2,-y+1/2,-z'
'-x+1/2,y+1/2,-z'
'x+1/2,-y+1/2,z'
loop_
_atom_site_label
_atom_site_fract_x
_atom_site_fract_y
_atom_site_fract_z
Rb1 0.092 0.000 0.311
Be1 0.216 0.000 0.919
As1 0.138 0.500 0.800
# Total magnetic moment (μB/cell): 0.0
# Total energy (eV per cell): -187.5
# Energy relative to the elements (meV per atom): -531